SrP2W | PBE | relaxed

Computed properties:
E above lowest polymorph: 0.828 eV/atom
final energy: -6.014 eV/atom
E_form: 0.350 eV/atom

The structure in CIF format:
```
data_SrP2W
_chemical_formula_sum 'Sr2 P4 W2'
_symmetry_space_group_name_H-M 'C 1 2/m 1'
_symmetry_Int_Tables_number 12
_symmetry_space_group_name_Hall '-C 2y'
_cell_length_a 6.8932
_cell_length_b 7.2401
_cell_length_c 3.1042
_cell_angle_alpha 90.00
_cell_angle_beta 105.44
_cell_angle_gamma 90.00
loop_
_atom_site_label
_atom_site_type_symbol
_atom_site_fract_x
_atom_site_fract_y
_atom_site_fract_z
_atom_site_occupancy
Sr1 Sr 0.0000 0.0000 0.0000 1
P1 P 0.2500 0.2500 0.5000 1
W1 W 0.0000 0.5000 0.0000 1
```